Record 1
The following is a DFT calculation (PBE) of a relaxed structure of ZnCoAgAu.

Computed properties:
- Energy above the most stable polymorph in this dataset: 0.0 kJ per mole of atoms
- Uncorrected energy: -3.4412 eV/atom
- Formation energy: 0.17 eV/atom

Unit cell a=6.2743 b=6.2743 c=6.2743 alpha=90.00 beta=90.00 gamma=90.00
With the nearest neighbours (Å) after each atom.
Space group F-43m (No. 216)
One atom of each set of equivalent atoms:
Zn  0.0000  0.0000  0.0000 (multiplicity 4)  4 Co 2.72, 4 Ag 2.72
Co  0.2500  0.2500  0.2500 (multiplicity 4)  4 Au 2.72, 4 Zn 2.72
Ag  0.2500  0.2500  0.7500 (multiplicity 4)  4 Zn 2.72, 4 Au 2.72
Au  0.0000  0.0000  0.5000 (multiplicity 4)  4 Ag 2.72, 4 Co 2.72


Record 2
The following is a DFT calculation (PBE) of a relaxed structure of PmCdB4.

Computed properties:
- Energy above the most stable polymorph in this dataset: 0.0 kJ per mole of atoms
- Uncorrected energy: -5.3889 eV/atom

Unit cell a=3.2055 b=5.4652 c=8.3945 alpha=90.00 beta=90.00 gamma=90.00
With the nearest neighbours (Å) after each atom.
Space group Immm (No. 71)
One atom of each set of equivalent atoms:
Pm  0.0000  0.0000  0.0000 (multiplicity 2)  12 B 2.76-2.79
Cd  0.0000  0.0000  0.5000 (multiplicity 2)  12 B 2.69-2.86
B  0.0000  0.3223  0.2580 (multiplicity 8)  3 B 1.79-1.94


Record 3
The following is a DFT calculation (PBE) of a relaxed structure of Co10W3.

Computed properties:
- Energy above the most stable polymorph in this dataset: 0.9 kJ per mole of atoms
- Uncorrected energy: -8.3072 eV/atom
- Formation energy: 0.15 eV/atom

Unit cell a=4.6317 b=4.6317 c=25.3682 alpha=90.00 beta=90.00 gamma=120.00
With the nearest neighbours (Å) after each atom.
Space group R-3m (No. 166, hexagonal axes)
One atom of each set of equivalent atoms:
Co  0.0000  0.0000  0.1534 (multiplicity 6)  4 W 2.62-2.70, 12 Co 2.67-2.85
Co  0.0000  0.0000  0.3367 (multiplicity 6)  9 Co 2.55-2.68
Co  0.0071  0.5035  0.9119 (multiplicity 18)  4 Co 2.27-2.36, 3 W 2.42-2.51
W  0.0000  0.0000  0.0500 (multiplicity 6)  7 Co 2.51-2.62, 1 W 2.54
W  0.0000  0.0000  0.5000 (multiplicity 3)  12 Co 2.42-2.70


Record 4
The following is a DFT calculation (PBE) of a relaxed structure of PmLu.

Computed properties:
- Energy above the most stable polymorph in this dataset: 65.8 kJ per mole of atoms
- Uncorrected energy: -3.9183 eV/atom
- Formation energy: 0.72 eV/atom

Unit cell a=6.4157 b=6.4157 c=6.4157 alpha=90.00 beta=90.00 gamma=90.00
With the nearest neighbours (Å) after each atom.
Space group Fm-3m (No. 225)
One atom of each set of equivalent atoms:
Pm  0.0000  0.0000  0.0000 (multiplicity 4)  6 Lu 3.21
Lu  0.0000  0.0000  0.5000 (multiplicity 4)  6 Pm 3.21


Record 5
The following is a DFT calculation (PBE) of a relaxed structure of RbPaCl6.

Computed properties:
- Uncorrected energy: -4.6061 eV/atom

Unit cell a=7.1267 b=7.1267 c=19.6497 alpha=90.00 beta=90.00 gamma=120.00
With the nearest neighbours (Å) after each atom.
Space group R-3m (No. 166, hexagonal axes)
One atom of each set of equivalent atoms:
Rb  0.0000  0.0000  0.0000 (multiplicity 3)  12 Cl 3.99
Pa  0.0000  0.0000  0.5000 (multiplicity 3)  6 Cl 2.55
Cl  0.0021  0.5011  0.9092 (multiplicity 18)  1 Pa 2.55